# KHoPb2F8 (PBE-GGA, relaxed)
data_KHoPb2F8
_symmetry_space_group_name_H-M 'P m m m'
_symmetry_Int_Tables_number 47
_cell_length_a 4.090
_cell_length_b 5.980
_cell_length_c 8.293
_cell_angle_alpha 90.00
_cell_angle_beta 90.00
_cell_angle_gamma 90.00
loop_
_symmetry_equiv_pos_as_xyz
'x,y,z'
'-x,-y,-z'
'-x,-y,z'
'x,y,-z'
'x,-y,-z'
'-x,y,z'
'-x,y,-z'
'x,-y,z'
loop_
_atom_site_label
_atom_site_type_symbol
_atom_site_fract_x
_atom_site_fract_y
_atom_site_fract_z
K1 K 0.000 0.000 0.000
Ho1 Ho 0.000 0.000 0.500
Pb1 Pb 0.500 0.500 0.244
F1 F 0.000 0.238 0.289
F2 F 0.500 0.205 0.500
F3 F 0.500 0.276 0.000
# **ΔE_f (raw)**: -3053 meV per atom
# **Crystal system**: orthorhombic

---

# K2HoPd3F12 (PBE-GGA, relaxed)
data_K2HoPd3F12
_symmetry_space_group_name_H-M 'R -3 m'
_symmetry_Int_Tables_number 166
_symmetry_space_group_name_Hall '-R 3 2"'
_cell_length_a 7.7967
_cell_length_b 7.7967
_cell_length_c 20.1822
_cell_angle_alpha 90.00
_cell_angle_beta 90.00
_cell_angle_gamma 120.00
loop_
_atom_site_label
_atom_site_type_symbol
_atom_site_fract_x
_atom_site_fract_y
_atom_site_fract_z
K1 K 0.0000 0.0000 0.1939
Ho1 Ho 0.0000 0.0000 0.5000
Pd1 Pd 0.0000 0.5000 0.0000
F1 F 0.0631 0.5315 0.1081
F2 F 0.0823 0.5412 0.3615
# **ΔE_f (raw)**: -2193 meV per atom
# **Crystal system**: trigonal

---

# KHoSn2F8 (PBE-GGA, relaxed)
data_KHoSn2F8
_symmetry_space_group_name_H-M 'P 1 2/m 1'
_symmetry_Int_Tables_number 10
_cell_length_a 6.045
_cell_length_b 4.128
_cell_length_c 8.246
_cell_angle_alpha 90.00
_cell_angle_beta 93.86
_cell_angle_gamma 90.00
loop_
_symmetry_equiv_pos_as_xyz
'x,y,z'
'-x,-y,-z'
'-x,y,-z'
'x,-y,z'
loop_
_atom_site_label
_atom_site_type_symbol
_atom_site_fract_x
_atom_site_fract_y
_atom_site_fract_z
K1 K 0.000 0.000 0.000
Ho1 Ho 0.000 0.000 0.500
Sn1 Sn 0.475 0.500 0.755
F1 F 0.195 0.500 0.542
F2 F 0.210 0.000 0.298
F3 F 0.274 0.000 0.718
F4 F 0.274 0.500 0.961
# **ΔE_f (raw)**: -2978 meV per atom
# **Crystal system**: monoclinic

---

# KHoTlF6 (PBE-GGA, relaxed)
data_KHoTlF6
_symmetry_space_group_name_H-M 'P -3 1 c'
_symmetry_Int_Tables_number 163
_symmetry_space_group_name_Hall '-P 3 2c'
_cell_length_a 6.3031
_cell_length_b 6.3031
_cell_length_c 10.3714
_cell_angle_alpha 90.00
_cell_angle_beta 90.00
_cell_angle_gamma 120.00
loop_
_atom_site_label
_atom_site_type_symbol
_atom_site_fract_x
_atom_site_fract_y
_atom_site_fract_z
K1 K 0.0000 0.0000 0.0000
Ho1 Ho 0.3333 0.6667 0.2500
Tl1 Tl 0.3333 0.6667 0.7500
F1 F 0.0292 0.3812 0.1387
# **ΔE_f (raw)**: -2990 meV per atom
# **Crystal system**: trigonal

---

For reference, M_tot by record: 0.000 0.280 0.000 0.091 μB/atom.
For reference, VASP energy by record: -5.391 -4.682 -5.366 -5.131 eV/atom.